ZnAg2Sb2: optimized geometry, PBE-GGA.

Unit cell a=7.5049 b=7.5049 c=7.5049 alpha=146.76 beta=146.76 gamma=47.71
Closest atoms and distances in Å follow each position.
Sites, in units of the cell vectors:
Zn1 0.0000 0.0000 0.0000  8 Ag 3.32
Ag1 0.4025 0.4025 0.0000  1 Ag 2.68
Ag2 0.5975 0.5975 0.0000  1 Ag 2.68
Sb1 0.2500 0.7500 0.5000  4 Ag 3.00, 4 Sb 3.04
Sb2 0.7500 0.2500 0.5000  4 Ag 3.00, 4 Sb 3.04

Properties
V = 25.30 Å³ per atom
uncorrected formation energy = 0.349 eV/atom